1.
DFT (PBE) results for a relaxed Ac4CdAu crystal.

```
Ac4CdAu
1.0
3.9691 0.0000 0.0000
0.0000 3.9691 0.0000
0.0000 0.0000 13.9305
Ac Cd Au
4 1 1
Direct
0.0000 0.0000 0.1360
0.0000 0.0000 0.8640
0.5000 0.5000 0.3486
0.5000 0.5000 0.6514
0.0000 0.0000 0.5000
0.5000 0.5000 0.0000
```

Results
Distance to the lowest polymorph of the same formula = 0.0 meV per atom
Energy = -3.772 eV per atom
DFT formation energy = -2.01 eV/f.u.

2.
DFT (PBE) results for a relaxed Ac3CdAu2 crystal.

```
Ac3CdAu2
1.0
3.9661 0.0000 0.0000
0.0000 3.9661 0.0000
0.0000 0.0000 11.8915
Ac Cd Au
3 1 2
Direct
0.0000 0.0000 0.0000
0.0000 0.0000 0.3218
0.0000 0.0000 0.6782
0.5000 0.5000 0.5000
0.5000 0.5000 0.1658
0.5000 0.5000 0.8342
```

Results
Energy = -3.920 eV per atom
DFT formation energy = -3.72 eV/f.u.

3.
DFT (PBE) results for a relaxed Ac2CdAu crystal.

```
Ac2CdAu
1.0
3.9774 0.0000 0.0000
0.0000 3.9774 0.0000
0.0000 0.0000 8.0424
Ac Cd Au
2 1 1
Direct
0.0000 0.0000 0.2348
0.0000 0.0000 0.7652
0.5000 0.5000 0.5000
0.5000 0.5000 0.0000
```

Results
Distance to the lowest polymorph of the same formula = 0.0 meV per atom
Energy = -3.642 eV per atom
DFT formation energy = -2.16 eV/f.u.

4.
DFT (PBE) results for a relaxed AcCd12Au6 crystal.

```
AcCd12Au6
1.0
6.3039 3.6396 3.1994
-6.3039 3.6396 3.1994
0.0000 -7.2792 3.1994
Ac Cd Au
1 12 6
Direct
0.0000 0.0000 0.0000
0.1133 0.5000 0.8867
0.1133 0.8867 0.5000
0.1510 0.4030 0.4030
0.4030 0.1510 0.4030
0.4030 0.4030 0.1510
0.5000 0.1133 0.8867
0.5000 0.8867 0.1133
0.5970 0.5970 0.8490
0.5970 0.8490 0.5970
0.8490 0.5970 0.5970
0.8867 0.1133 0.5000
0.8867 0.5000 0.1133
0.2738 0.2738 0.7105
0.2738 0.7105 0.2738
0.2895 0.7262 0.7262
0.7105 0.2738 0.2738
0.7262 0.2895 0.7262
0.7262 0.7262 0.2895
```

Results
Energy = -2.023 eV per atom
DFT formation energy = -3.69 eV/f.u.

5.
DFT (PBE) results for a relaxed AcCdAu2 crystal.

```
AcCdAu2
1.0
3.7733 0.0000 0.0000
0.0000 3.7733 0.0000
0.0000 0.0000 7.0440
Ac Cd Au
1 1 2
Direct
0.0000 0.0000 0.0000
0.0000 0.0000 0.5000
0.5000 0.5000 0.2793
0.5000 0.5000 0.7207
```

Results
Distance to the lowest polymorph of the same formula = 139.4 meV per atom
Energy = -3.404 eV per atom
DFT formation energy = -2.04 eV/f.u.

6.
DFT (PBE) results for a relaxed Ac5Cd2Au2 crystal.

```
Ac5Cd2Au2
1.0
8.7033 -4.0590 0.0000
8.7033 4.0590 0.0000
0.0000 0.0000 8.8407
Ac Cd Au
10 4 4
Direct
0.0000 0.0000 0.0000
0.0386 0.7009 0.6754
0.2009 0.5386 0.1754
0.2991 0.9614 0.6754
0.4614 0.7991 0.1754
0.5000 0.5000 0.5000
0.5386 0.2009 0.8246
0.7009 0.0386 0.3246
0.7991 0.4614 0.8246
0.9614 0.2991 0.3246
0.2136 0.2136 0.0000
0.2864 0.2864 0.5000
0.7136 0.7136 0.5000
0.7864 0.7864 0.0000
0.1254 0.8746 0.3733
0.3746 0.6254 0.8733
0.6254 0.3746 0.1267
0.8746 0.1254 0.6267
```

Results
Energy = -3.630 eV per atom
DFT formation energy = -3.75 eV/f.u.

Q: Number 5 is which compound?
A: AcCdAu2